First-principles (GGA+U) data for InNiAg2F6 after structural relaxation, as listed in Alexandria.

abc: 5.9058 8.3643 5.9122
angles: 90.00 90.00 90.00
Space group Pmmn (No. 59, origin choice 2)
Symmetry-distinct sites (fractional):
In: 0.2500 0.2500 0.2489
Ni: 0.2500 0.7500 0.2514
Ag: 0.2500 0.0002 0.7503
F: 0.0067 0.7500 0.0081
F: 0.0067 0.7500 0.4942
F: 0.2500 0.5068 0.2524

Computed properties:
total energy	-0.2848	Ry/atom
total magnetization	1.86	μB per formula unit
calculated volume	14.6	Å³/atom